Record 1
Computed, not measured: In2IrPb after structural relaxation at the PBE level of DFT.

Output
Total energy, eV per atom: -4.322
Space group: Immm, No. 71
M_tot, μB per atom: 0.0000
E_form, eV/f.u.: 0.76
V, Å³/atom: 24.29

```
4
Lattice="-6.2025 2.8277 -1.3462 -6.3301 -2.8635 -0.0969 5.9964 1.7860 3.0222" Properties=species:S:1:pos:R:3 pbc="T T T"
In -5.5186 -0.0158 -0.6355
Ir -3.3000 -0.5477 1.1018
In -0.7477 -0.0021 -0.0861
Pb -3.2363 2.2979 0.4772
```

***

Record 2
Computed, not measured: TbAl7Ga12 after structural relaxation at the PBE level of DFT.

Output
Total energy, eV per atom: -3.128
Space group: Im-3, No. 204
M_tot, μB per atom: 0.0000
E_form, eV/f.u.: 4.58
V, Å³/atom: 22.53

```
20
Lattice="8.3653 0.0000 0.0000 -2.7884 7.8869 0.0000 -2.7884 -3.9434 6.8302" Properties=species:S:1:pos:R:3 pbc="T T T"
Al -2.7884 1.9717 3.4151
Al -1.3942 3.9434 0.0000
Al 4.1826 0.0000 0.0000
Al 1.3942 1.9717 3.4151
Ga 0.0533 2.2400 5.5805
Ga 5.6302 -0.2306 2.1001
Ga -2.8417 4.1740 4.7301
Ga 0.6943 -0.4910 3.3498
Al -1.3942 -1.9717 3.4151
Ga 2.8417 -2.0094 5.9798
Ga 4.8825 4.7403 1.2497
Ga -0.6943 2.6555 2.1001
Ga 2.7351 1.7035 1.2497
Al 2.7884 3.9434 0.0000
Ga -0.0533 5.9528 0.8504
Ga 3.4828 1.2879 4.7301
Tb 0.0000 0.0000 0.0000
Al 2.7884 -1.9717 3.4151
Ga 2.0941 4.4344 3.4804
Ga -2.0941 -0.7969 5.5805
```

***

Record 3
Computed, not measured: TmTlSn2 after structural relaxation at the PBE level of DFT.

Output
Total energy, eV per atom: -3.977
Space group: P4/mmm, No. 123
M_tot, μB per atom: 0.0000
E_form, eV/f.u.: -1.06
Offset from the most stable computed form, meV/atom: 46.6
V, Å³/atom: 27.28

```
4
Lattice="4.1412 0.0000 0.0000 0.0000 4.1412 0.0000 0.0000 0.0000 6.3625" Properties=species:S:1:pos:R:3 pbc="T T T"
Sn 0.0000 0.0000 1.4894
Sn 0.0000 0.0000 4.8731
Tl 2.0706 2.0706 3.1813
Tm 2.0706 2.0706 0.0000
```